Entry 1:
! GeBi | the Alexandria database | PBE-GGA | relaxed; values from VASP
! Calculated total energy   -4.039 eV/atom
! Space-group type   P2_12_12_1
! Energy relative to the elements   20.3 kJ/mol of atoms
&SYSTEM
  ibrav = 0, nat = 16, ntyp = 2
/
ATOMIC_SPECIES
Ge 72.64 Ge.upf
Bi 208.98 Bi.upf
CELL_PARAMETERS angstrom
6.290 0.000 0.000
0.000 7.192 0.000
0.000 0.000 9.815
ATOMIC_POSITIONS crystal
Ge 0.086 0.047 0.091
Ge 0.224 0.381 0.030
Ge 0.276 0.619 0.530
Ge 0.414 0.953 0.591
Ge 0.586 0.453 0.909
Ge 0.724 0.119 0.970
Ge 0.776 0.881 0.470
Ge 0.914 0.547 0.409
Bi 0.076 0.198 0.772
Bi 0.110 0.135 0.397
Bi 0.390 0.865 0.897
Bi 0.424 0.802 0.272
Bi 0.576 0.302 0.228
Bi 0.610 0.365 0.603
Bi 0.890 0.635 0.103
Bi 0.924 0.698 0.728

Entry 2:
! GeBi | the Alexandria database | PBE-GGA | relaxed; values from VASP
! Calculated total energy   -4.055 eV/atom
! Space-group type   C2/m
! Energy relative to the elements   18.8 kJ/mol of atoms
&SYSTEM
  ibrav = 0, nat = 4, ntyp = 2
/
ATOMIC_SPECIES
Ge 72.64 Ge.upf
Bi 208.98 Bi.upf
CELL_PARAMETERS angstrom
3.255 -2.865 0.000
3.255 2.865 0.000
-2.745 0.000 5.760
ATOMIC_POSITIONS crystal
Ge 0.220 0.220 0.155
Ge 0.780 0.780 0.845
Bi 0.274 0.274 0.704
Bi 0.726 0.726 0.296

Entry 3:
! GeBi3 | the Alexandria database | PBE-GGA | relaxed; values from VASP
! Calculated total energy   -3.888 eV/atom
! Space-group type   Imm2
! Energy relative to the elements   17.1 kJ/mol of atoms
&SYSTEM
  ibrav = 0, nat = 4, ntyp = 2
/
ATOMIC_SPECIES
Ge 72.64 Ge.upf
Bi 208.98 Bi.upf
CELL_PARAMETERS angstrom
-2.012 6.022 2.459
2.012 -6.022 2.459
2.012 6.022 -2.459
ATOMIC_POSITIONS crystal
Ge 0.000 0.000 0.000
Bi 0.155 0.459 0.696
Bi 0.471 0.971 0.500
Bi 0.763 0.459 0.304

Entry 4:
! GeBi | the Alexandria database | PBE-GGA | relaxed; values from VASP
! Calculated total energy   -4.000 eV/atom
! Space-group type   P6_3mc
! Energy relative to the elements   24.1 kJ/mol of atoms
&SYSTEM
  ibrav = 0, nat = 4, ntyp = 2
/
ATOMIC_SPECIES
Ge 72.64 Ge.upf
Bi 208.98 Bi.upf
CELL_PARAMETERS angstrom
4.359 0.000 0.000
-2.180 3.775 0.000
0.000 0.000 8.570
ATOMIC_POSITIONS crystal
Ge 0.333 0.667 0.000
Ge 0.667 0.333 0.500
Bi 0.333 0.667 0.352
Bi 0.667 0.333 0.852

Entry 5:
! GeBi | the Alexandria database | PBE-GGA | relaxed; values from VASP
! Calculated total energy   -4.031 eV/atom
! Space-group type   P2_1/m
! Energy relative to the elements   21.0 kJ/mol of atoms
&SYSTEM
  ibrav = 0, nat = 4, ntyp = 2
/
ATOMIC_SPECIES
Ge 72.64 Ge.upf
Bi 208.98 Bi.upf
CELL_PARAMETERS angstrom
4.702 0.000 0.000
0.000 4.035 0.000
-1.202 0.000 5.595
ATOMIC_POSITIONS crystal
Ge 0.097 0.250 0.172
Ge 0.903 0.750 0.828
Bi 0.391 0.250 0.709
Bi 0.609 0.750 0.291

Entry 6:
! GeBi | the Alexandria database | PBE-GGA | relaxed; values from VASP
! Calculated total energy   -4.050 eV/atom
! Space-group type   P-1
! Energy relative to the elements   19.2 kJ/mol of atoms
&SYSTEM
  ibrav = 0, nat = 4, ntyp = 2
/
ATOMIC_SPECIES
Ge 72.64 Ge.upf
Bi 208.98 Bi.upf
CELL_PARAMETERS angstrom
4.075 0.000 0.000
0.000 4.076 0.000
0.017 0.007 6.666
ATOMIC_POSITIONS crystal
Ge 0.246 0.248 0.147
Ge 0.754 0.752 0.853
Bi 0.253 0.251 0.713
Bi 0.747 0.749 0.287

Entry 7:
! GeBi | the Alexandria database | PBE-GGA | relaxed; values from VASP
! Calculated total energy   -4.056 eV/atom
! Space-group type   P-1
! Energy relative to the elements   18.7 kJ/mol of atoms
&SYSTEM
  ibrav = 0, nat = 4, ntyp = 2
/
ATOMIC_SPECIES
Ge 72.64 Ge.upf
Bi 208.98 Bi.upf
CELL_PARAMETERS angstrom
3.547 0.000 0.000
1.748 5.317 0.000
1.026 2.601 6.504
ATOMIC_POSITIONS crystal
Ge 0.170 0.164 0.000
Ge 0.830 0.836 0.000
Bi 0.016 0.666 0.664
Bi 0.984 0.334 0.336

Entry 8:
! GeBi | the Alexandria database | PBE-GGA | relaxed; values from VASP
! Calculated total energy   -3.931 eV/atom
! Space-group type   I4/m
! Energy relative to the elements   30.7 kJ/mol of atoms
&SYSTEM
  ibrav = 0, nat = 8, ntyp = 2
/
ATOMIC_SPECIES
Ge 72.64 Ge.upf
Bi 208.98 Bi.upf
CELL_PARAMETERS angstrom
-5.905 5.905 1.994
5.905 -5.905 1.994
5.905 5.905 -1.994
ATOMIC_POSITIONS crystal
Ge 0.193 0.798 0.991
Ge 0.202 0.193 0.395
Ge 0.798 0.807 0.605
Ge 0.807 0.202 0.009
Bi 0.305 0.505 0.810
Bi 0.495 0.305 0.801
Bi 0.505 0.695 0.199
Bi 0.695 0.495 0.190